No. 1
Compound: HgTePSe2
Source: Alexandria
Functional: PBE-GGA
Structure: relaxed

Computed properties:
Uncorrected energy = -10.2 eV/f.u.
Magnetic moment = 1.08 μB per cell

Cell and atoms, written as extended XYZ:
```
5
Lattice="-3.153 -1.187 -3.890 2.771 -4.987 -0.724 -3.224 -2.271 3.306" Properties=species:S:1:pos:R:3 pbc="T T T"
Hg 0.000 0.000 0.000
Se -1.612 -1.136 1.653
P -1.803 -4.223 -0.654
Te 1.386 -2.493 -0.362
Se -1.576 -0.594 -1.945
```

---

No. 2
Compound: Th6HgP2Se3
Source: Alexandria
Functional: PBE-GGA
Structure: relaxed

Computed properties:
Uncorrected energy = -81.7 eV/f.u.
Magnetic moment = 0.00 μB per cell

Cell and atoms, written as extended XYZ:
```
12
Lattice="-0.840 -4.015 0.893 6.914 -2.421 -4.381 3.728 3.211 8.075" Properties=species:S:1:pos:R:3 pbc="T T T"
Hg -0.420 -2.007 0.447
Se 3.037 -3.218 -1.744
Th 1.877 -0.618 -1.011
Th 4.667 -2.986 0.832
Th 8.368 -1.380 1.665
Th 7.924 -2.607 5.598
Th 1.433 -1.844 2.922
P 3.452 -0.408 1.413
P 6.349 -2.817 3.174
Se 2.965 -1.594 5.488
Th 5.134 -0.239 3.755
Se 6.837 -1.631 -0.902
```